The following is a PBE calculation of a geometry-optimized Cs2SbCl2F4 structure, from the Alexandria database.

abc: 5.5634 7.3275 7.3275
angles: 54.45 92.82 92.82
Atoms (fractional coordinates):
Cs (0.1568, 0.6411, 0.6411)
Cs (0.8432, 0.3589, 0.3589)
Sb (0.5000, 0.0000, 0.0000)
Cl (0.3306, 0.1796, 0.1796)
Cl (0.6694, 0.8204, 0.8204)
F (0.2670, 0.7281, 0.1756)
F (0.7330, 0.8244, 0.2719)
F (0.7330, 0.2719, 0.8244)
F (0.2670, 0.1756, 0.7281)

Energy relative to the elements, uncorrected: -2.1606 eV/atom
Crystal system: monoclinic
Density of states at the Fermi level: 0.374 states/eV/atom